(1)
{"formula": "Sc2BeSb", "functional": "PBE", "state": "relaxed", "e_above_lowest_polymorph_ev_per_fu": 0.900, "e_form_raw_ev_per_atom": -0.25, "cell": [[-3.249, -2.885, -0.928], [0.147, -4.119, 1.657], [-3.466, -0.853, 4.144]], "species": ["Sb", "Be", "Sc", "Sc"], "fractional_positions": [[0.250, 0.250, 0.250], [0.750, 0.750, 0.750], [0.014, 0.014, 0.958], [0.486, 0.486, 0.542]]}



(2)
{"formula": "CdSn2P3", "functional": "PBE", "state": "relaxed", "e_tot_ev_per_atom": -4.1772, "cell": [[-5.945, 3.497, -2.161], [-0.281, -7.051, 1.564], [0.821, 2.950, 7.106]], "species": ["P", "P", "P", "P", "P", "P", "Sn", "Sn", "Sn", "Sn", "Cd", "Cd"], "fractional_positions": [[0.382, 0.878, 0.368], [0.548, 0.714, 0.890], [0.714, 0.548, 0.390], [0.052, 0.217, 0.374], [0.217, 0.052, 0.874], [0.878, 0.382, 0.868], [0.600, 0.430, 0.021], [0.430, 0.600, 0.521], [0.768, 0.260, 0.505], [0.260, 0.768, 0.005], [0.939, 0.107, 0.014], [0.107, 0.939, 0.514]]}



(3)
{"formula": "Nd2CuHPt6", "functional": "PBE", "state": "relaxed", "e_tot_ev_per_atom": -5.9951, "cell": [[-1.039, -0.371, 5.576], [6.886, -0.582, 1.244], [2.033, 3.954, 3.538]], "species": ["Cu", "Pt", "Pt", "Pt", "Pt", "Pt", "Pt", "Nd", "Nd", "H"], "fractional_positions": [[0.000, 0.000, 0.000], [0.268, 0.313, 0.956], [0.732, 0.687, 0.044], [0.777, 0.313, 0.955], [0.223, 0.687, 0.045], [0.269, 0.313, 0.463], [0.731, 0.687, 0.537], [0.715, 0.145, 0.570], [0.285, 0.855, 0.430], [0.500, 0.500, 0.000]]}



(4)
{"formula": "Co2SbOs", "functional": "PBE", "state": "relaxed", "e_above_lowest_polymorph_ev_per_fu": 0.000, "e_form_raw_ev_per_atom": 0.29, "cell": [[-1.897, -3.999, -1.351], [1.981, -3.391, 2.447], [-1.963, 3.958, 1.371]], "species": ["Sb", "Os", "Co", "Co"], "fractional_positions": [[0.250, 0.750, 0.500], [0.500, 0.500, 0.000], [0.000, 0.000, 0.000], [0.750, 0.250, 0.500]]}



(5)
{"formula": "GaIrC3", "functional": "PBE", "state": "relaxed", "e_above_lowest_polymorph_ev_per_fu": 4.532, "cell": [[3.884, 0.000, 0.000], [0.000, 3.884, 0.000], [0.000, 0.000, 3.884]], "species": ["C", "C", "C", "Ga", "Ir"], "fractional_positions": [[0.000, 0.000, 0.500], [0.500, 0.000, 0.000], [0.000, 0.500, 0.000], [0.000, 0.000, 0.000], [0.500, 0.500, 0.500]]}



(6)
{"formula": "AlNiSb2", "functional": "PBE", "state": "relaxed", "e_form_raw_ev_per_atom": 0.08, "cell": [[6.541, 0.019, 0.003], [4.328, 4.905, -0.003], [-5.116, -3.165, 2.569]], "species": ["Sb", "Sb", "Al", "Ni"], "fractional_positions": [[0.237, 0.737, 0.500], [0.941, 0.941, 0.000], [0.571, 0.571, 0.000], [0.750, 0.250, 0.500]]}



(7)
{"formula": "Mg2In2Si", "functional": "PBE", "state": "relaxed", "e_above_lowest_polymorph_ev_per_fu": 0.000, "e_form_raw_ev_per_atom": 0.15, "cell": [[-4.256, 3.921, 3.898], [-2.543, -5.756, 3.014], [3.434, 0.292, 3.456]], "species": ["In", "In", "In", "In", "Si", "Si", "Mg", "Mg", "Mg", "Mg"], "fractional_positions": [[0.340, 0.160, 0.500], [0.840, 0.340, 0.500], [0.660, 0.840, 0.500], [0.160, 0.660, 0.500], [0.500, 0.500, 0.000], [0.000, 0.000, 0.000], [0.348, 0.848, 0.000], [0.152, 0.348, 0.000], [0.848, 0.652, 0.000], [0.652, 0.152, 0.000]]}



(8)
{"formula": "Pr3Nd2Sm6In", "functional": "PBE", "state": "relaxed", "e_tot_ev_per_atom": -4.6277, "cell": [[6.260, -0.006, 0.003], [-3.134, 5.419, 0.003], [-1.059, -1.834, 11.808]], "species": ["Sm", "Sm", "Sm", "Sm", "Sm", "Sm", "In", "Nd", "Nd", "Pr", "Pr", "Pr"], "fractional_positions": [[0.407, 0.082, 0.245], [0.082, 0.407, 0.245], [0.918, 0.593, 0.755], [0.593, 0.918, 0.755], [0.243, 0.243, 0.754], [0.757, 0.757, 0.246], [0.000, 0.000, 0.000], [0.666, 0.334, 0.000], [0.334, 0.666, 0.000], [0.500, 0.500, 0.500], [0.169, 0.831, 0.500], [0.831, 0.169, 0.500]]}